Record 1
AgAuCl4: relaxed, PBE.

Summary:
* final energy: -2.603 eV per atom
* uncorrected formation energy: -351 meV per atom

Structure (POSCAR):
```
AgAuCl4
1.0
0.005 -6.340 4.035
4.232 -5.879 -2.002
5.742 2.804 4.235
Ag Au Cl
2 2 8
Direct
0.500 0.000 0.500
0.000 0.500 0.000
0.250 0.750 0.250
0.750 0.250 0.750
0.921 0.422 0.674
0.300 0.800 0.542
0.700 0.200 0.458
0.422 0.921 0.174
0.578 0.079 0.826
0.200 0.700 0.958
0.800 0.300 0.042
0.079 0.578 0.326
```

***

Record 2
BaCo2Os: relaxed, PBE.

Summary:
* final energy: -6.121 eV per atom
* offset from the most stable computed form: 1.682 eV per formula unit

Structure (POSCAR):
```
BaCo2Os
1.0
4.986 0.000 0.000
0.000 4.986 0.000
2.493 2.493 7.673
Co Os Ba
4 2 2
Direct
0.875 0.125 0.250
0.875 0.625 0.250
0.375 0.125 0.750
0.875 0.125 0.750
0.000 0.000 0.000
0.750 0.250 0.500
0.500 0.500 0.000
0.250 0.750 0.500
```